Below is a crystal of Sr2AlCo relaxed with PBEsol, with properties calculated at the SCAN level.

The value obtained for the total magnetic moment is 2.508 μB/cell. The density of states at the Fermi level comes out at 2.46 states/eV/f.u. The value obtained for the final energy is -137.38 eV per cell. Its formation energy is 230 meV/atom.

It has space group Cmmm (No. 65), with a = 7.409 Å, b = 7.418 Å, c = 3.832 Å, α = 90.00°, β = 90.00° and γ = 90.00°. Symmetry generates all atoms from Sr at (0.250, 0.250, 0.000), Al at (0.000, 0.000, 0.500) and Co at (0.000, 0.500, 0.500).

Below is a crystal of YMn4Al8 relaxed with PBEsol, with properties calculated at the SCAN level.

The value obtained for the total magnetic moment is 18.932 μB/cell. The density of states at the Fermi level comes out at 6.84 states/eV/f.u. The value obtained for the final energy is -337.01 eV per cell. Its formation energy is -433 meV/atom.

It has space group I4/mmm (No. 139), with a = 8.709 Å, b = 8.709 Å, c = 4.886 Å, α = 90.00°, β = 90.00° and γ = 90.00°. Symmetry generates all atoms from Y at (0.000, 0.000, 0.000), Mn at (0.250, 0.250, 0.250), Al at (0.000, 0.218, 0.500) and Al at (0.000, 0.341, 0.000).

Below is a crystal of Ce5NiGe2 relaxed with PBEsol, with properties calculated at the SCAN level.

The value obtained for the total magnetic moment is 27.051 μB/cell. The density of states at the Fermi level comes out at 15.56 states/eV/f.u. The value obtained for the final energy is -1124.02 eV per cell. Its formation energy is -480 meV/atom.

It has space group P4/ncc (No. 130, origin choice 2), with a = 11.484 Å, b = 11.484 Å, c = 5.386 Å, α = 90.00°, β = 90.00° and γ = 90.00°. Symmetry generates all atoms from Ce at (0.033, 0.174, 0.250), Ce at (0.250, 0.750, 0.000), Ni at (0.250, 0.250, 0.002) and Ge at (0.086, 0.586, 0.750).